Record 1
A plane-wave DFT calculation with GGA-PBE was carried out for crystalline TaCr3 at its relaxed geometry.

```
8
Lattice="5.215 0.000 0.000 -2.607 4.516 0.000 0.000 0.000 4.655" Properties=species:S:1:pos:R:3 pbc="T T T"
Ta 0.000 3.011 1.164
Ta 2.607 1.505 3.491
Cr 0.000 1.447 3.491
Cr -1.354 3.793 3.491
Cr 1.253 0.724 1.164
Cr 1.354 3.793 3.491
Cr 3.962 0.724 1.164
Cr 2.607 3.069 1.164
```


Record 2
A plane-wave DFT calculation with GGA-PBE was carried out for crystalline Ta2Cr at its relaxed geometry.

```
6
Lattice="4.854 0.000 0.000 0.000 7.208 0.000 0.000 0.000 2.949" Properties=species:S:1:pos:R:3 pbc="T T T"
Ta 0.007 1.410 0.000
Ta 2.420 5.014 1.475
Ta 2.434 2.194 1.475
Ta 4.847 5.798 0.000
Cr 0.000 3.604 1.475
Cr 2.427 0.000 0.000
```


no.,ΔH_f (0 K) (eV per atom)
1,0.440
2,0.520